HfVS2: relaxed, PBE.

## Properties
- Symmetry: Fm-3m (225)
- Uncorrected formation energy: -0.79 eV per atom
- V: 237 Å³ per cell
- Energy above the lowest structure with this stoichiometry: 0.000 eV per atom
- DFT total energy: -7.62 eV per atom

Cell and atoms, written as POSCAR:
```
HfVS2
1.0
6.1863 0.0000 0.0000
0.0000 6.1863 0.0000
0.0000 0.0000 6.1863
Hf V S
4 4 8
direct
0.0000 0.0000 0.0000
0.0000 0.5000 0.5000
0.5000 0.0000 0.5000
0.5000 0.5000 0.0000
0.0000 0.0000 0.5000
0.0000 0.5000 0.0000
0.5000 0.0000 0.0000
0.5000 0.5000 0.5000
0.2500 0.2500 0.2500
0.2500 0.2500 0.7500
0.2500 0.7500 0.2500
0.2500 0.7500 0.7500
0.7500 0.2500 0.2500
0.7500 0.2500 0.7500
0.7500 0.7500 0.2500
0.7500 0.7500 0.7500
```



Hf2V2S7: relaxed, PBE.

## Properties
- Symmetry: Imm2 (44)
- Uncorrected formation energy: -1.03 eV per atom
- V: 195 Å³ per cell
- DFT total energy: -7.13 eV per atom

Cell and atoms, written as POSCAR:
```
Hf2V2S7
1.0
-1.7269 6.4590 4.3703
1.7269 -6.4590 4.3703
1.7269 6.4590 -4.3703
Hf V S
2 2 7
direct
0.2374 0.0000 0.2374
0.7626 0.0000 0.7626
0.3147 0.8147 0.5000
0.8885 0.8885 0.0000
0.0250 0.7107 0.3143
0.1375 0.1375 0.0000
0.3843 0.5000 0.8843
0.3965 0.7107 0.6857
0.6157 0.5000 0.1157
0.7177 0.3438 0.3739
0.9699 0.3438 0.6261
```



HfVS3: relaxed, PBE.

## Properties
- Symmetry: Pm-3m (221)
- Uncorrected formation energy: -0.22 eV per atom
- V: 93 Å³ per cell
- Energy above the lowest structure with this stoichiometry: 0.883 eV per atom
- DFT total energy: -6.51 eV per atom

Cell and atoms, written as POSCAR:
```
HfVS3
1.0
4.5297 0.0000 0.0000
0.0000 4.5297 0.0000
0.0000 0.0000 4.5297
Hf V S
1 1 3
direct
0.0000 0.0000 0.0000
0.5000 0.5000 0.5000
0.0000 0.5000 0.5000
0.5000 0.0000 0.5000
0.5000 0.5000 0.0000
```



Hf9V4S: relaxed, PBE.

## Properties
- Symmetry: P6_3/mmc (194)
- Uncorrected formation energy: -0.21 eV per atom
- V: 535 Å³ per cell
- DFT total energy: -9.51 eV per atom

Cell and atoms, written as POSCAR:
```
Hf9V4S
1.0
8.5653 0.0000 0.0000
-4.2827 7.4178 0.0000
0.0000 0.0000 8.4209
Hf V S
18 8 2
direct
0.0879 0.5440 0.2500
0.1956 0.3912 0.5511
0.1956 0.3912 0.9489
0.1956 0.8044 0.5511
0.1956 0.8044 0.9489
0.3912 0.1956 0.0511
0.3912 0.1956 0.4489
0.4560 0.5440 0.2500
0.4560 0.9121 0.2500
0.5440 0.0879 0.7500
0.5440 0.4560 0.7500
0.6088 0.8044 0.5511
0.6088 0.8044 0.9489
0.8044 0.1956 0.0511
0.8044 0.1956 0.4489
0.8044 0.6088 0.0511
0.8044 0.6088 0.4489
0.9121 0.4560 0.7500
0.0000 0.0000 0.0000
0.0000 0.0000 0.5000
0.1071 0.2142 0.2500
0.1071 0.8929 0.2500
0.2142 0.1071 0.7500
0.7858 0.8929 0.2500
0.8929 0.1071 0.7500
0.8929 0.7858 0.7500
0.3333 0.6667 0.7500
0.6667 0.3333 0.2500
```



HfV2S4: relaxed, PBE.

## Properties
- Symmetry: I4/mmm (139)
- Uncorrected formation energy: -0.47 eV per atom
- V: 294 Å³ per cell
- DFT total energy: -6.85 eV per atom

Cell and atoms, written as POSCAR:
```
HfV2S4
1.0
4.9526 0.0000 0.0000
0.0000 4.9526 0.0000
0.0000 0.0000 11.9717
Hf V S
2 4 8
direct
0.0000 0.0000 0.0000
0.5000 0.5000 0.5000
0.0000 0.0000 0.3917
0.0000 0.0000 0.6083
0.5000 0.5000 0.1083
0.5000 0.5000 0.8917
0.0000 0.0000 0.2068
0.0000 0.0000 0.7932
0.0000 0.5000 0.0000
0.0000 0.5000 0.5000
0.5000 0.0000 0.0000
0.5000 0.0000 0.5000
0.5000 0.5000 0.2932
0.5000 0.5000 0.7068
```



HfV3S: relaxed, PBE.

## Properties
- Symmetry: Pm-3m (221)
- Uncorrected formation energy: 1.83 eV per atom
- V: 102 Å³ per cell
- Energy above the lowest structure with this stoichiometry: 1.929 eV per atom
- DFT total energy: -6.46 eV per atom

Cell and atoms, written as POSCAR:
```
HfV3S
1.0
4.6733 0.0000 0.0000
0.0000 4.6733 0.0000
0.0000 0.0000 4.6733
Hf V S
1 3 1
direct
0.0000 0.0000 0.0000
0.0000 0.0000 0.5000
0.0000 0.5000 0.0000
0.5000 0.0000 0.0000
0.5000 0.5000 0.5000
```



Hf6VS: relaxed, PBE.

## Properties
- Symmetry: C2/m (12)
- Uncorrected formation energy: -0.03 eV per atom
- V: 349 Å³ per cell
- DFT total energy: -9.15 eV per atom

Cell and atoms, written as POSCAR:
```
Hf6VS
1.0
6.8339 0.0000 0.0000
0.0000 9.3202 0.0000
-1.5039 0.0000 5.4786
Hf V S
12 2 2
direct
0.0991 0.2025 0.2881
0.0991 0.7975 0.2881
0.2128 0.5000 0.1819
0.2872 0.0000 0.8181
0.4009 0.2975 0.7119
0.4009 0.7025 0.7119
0.5991 0.2975 0.2881
0.5991 0.7025 0.2881
0.7128 0.0000 0.1819
0.7872 0.5000 0.8181
0.9009 0.2025 0.7119
0.9009 0.7975 0.7119
0.0000 0.5000 0.5000
0.5000 0.0000 0.5000
0.0000 0.0000 0.0000
0.5000 0.5000 0.0000
```



HfV3S6: relaxed, PBE.

## Properties
- Symmetry: P2_1/m (11)
- Uncorrected formation energy: -0.99 eV per atom
- V: 323 Å³ per cell
- DFT total energy: -7.19 eV per atom

Cell and atoms, written as POSCAR:
```
HfV3S6
1.0
9.9544 0.0000 0.0000
0.0000 3.4254 0.0000
-3.5866 0.0000 9.4862
Hf V S
2 6 12
direct
0.0629 0.2500 0.2031
0.9371 0.7500 0.7969
0.1231 0.2500 0.5624
0.3247 0.7500 0.9931
0.4587 0.2500 0.3803
0.5413 0.7500 0.6197
0.6753 0.2500 0.0069
0.8769 0.7500 0.4376
0.0876 0.7500 0.3975
0.1145 0.2500 0.9669
0.1833 0.7500 0.7448
0.2794 0.7500 0.2244
0.3733 0.2500 0.5668
0.4842 0.2500 0.1200
0.5158 0.7500 0.8800
0.6267 0.7500 0.4332
0.7206 0.2500 0.7756
0.8167 0.2500 0.2552
0.8855 0.7500 0.0331
0.9124 0.2500 0.6025
```



YHfVS2: relaxed, PBE.

## Properties
- Symmetry: P4/mmm (123)
- Uncorrected formation energy: 0.35 eV per atom
- V: 145 Å³ per cell
- DFT total energy: -6.41 eV per atom

Cell and atoms, written as POSCAR:
```
YHfVS2
1.0
4.8510 0.0000 0.0000
0.0000 4.8510 0.0000
0.0000 0.0000 6.1818
Y Hf V S
1 1 1 2
direct
0.0000 0.0000 0.0000
0.0000 0.0000 0.5000
0.5000 0.5000 0.0000
0.0000 0.5000 0.5000
0.5000 0.0000 0.5000
```



Hf2WS: relaxed, PBE.

## Properties
- Symmetry: I-42d (122)
- Uncorrected formation energy: 0.75 eV per atom
- V: 416 Å³ per cell
- DFT total energy: -8.50 eV per atom

Cell and atoms, written as POSCAR:
```
Hf2WS
1.0
5.8306 0.0000 0.0000
0.0000 5.8306 0.0000
0.0000 0.0000 12.2303
Hf W S
8 4 4
direct
0.2382 0.2500 0.1250
0.2500 0.7382 0.3750
0.2500 0.7618 0.8750
0.2618 0.2500 0.6250
0.7382 0.7500 0.6250
0.7500 0.2382 0.8750
0.7500 0.2618 0.3750
0.7618 0.7500 0.1250
0.0000 0.0000 0.5000
0.0000 0.5000 0.7500
0.5000 0.0000 0.2500
0.5000 0.5000 0.0000
0.0000 0.0000 0.0000
0.0000 0.5000 0.2500
0.5000 0.0000 0.7500
0.5000 0.5000 0.5000
```



Hf3WS: relaxed, PBE.

## Properties
- Symmetry: Pm-3m (221)
- Uncorrected formation energy: 0.03 eV per atom
- V: 103 Å³ per cell
- Energy above the lowest structure with this stoichiometry: 0.000 eV per atom
- DFT total energy: -9.36 eV per atom

Cell and atoms, written as POSCAR:
```
Hf3WS
1.0
4.6883 0.0000 0.0000
0.0000 4.6883 0.0000
0.0000 0.0000 4.6883
Hf W S
3 1 1
direct
0.0000 0.0000 0.5000
0.0000 0.5000 0.0000
0.5000 0.0000 0.0000
0.5000 0.5000 0.5000
0.0000 0.0000 0.0000
```



HfWS2: relaxed, PBE.

## Properties
- Symmetry: R-3m (166)
- Uncorrected formation energy: -0.35 eV per atom
- V: 215 Å³ per cell
- Energy above the lowest structure with this stoichiometry: 0.000 eV per atom
- DFT total energy: -8.14 eV per atom

Cell and atoms, written as POSCAR:
```
HfWS2
1.0
3.1350 0.0000 0.0000
-1.5675 2.7150 0.0000
0.0000 0.0000 25.2641
Hf W S
3 3 6
direct
0.0000 0.0000 0.0000
0.3333 0.6667 0.6667
0.6667 0.3333 0.3333
0.0000 0.0000 0.5000
0.3333 0.6667 0.1667
0.6667 0.3333 0.8333
0.0000 0.0000 0.1014
0.0000 0.0000 0.8986
0.3333 0.6667 0.5653
0.3333 0.6667 0.7680
0.6667 0.3333 0.2320
0.6667 0.3333 0.4347
```



> What is the DFT total energy in the fourth record?

-9.51 eV per atom



> Among the records above, which one has the highest DFT total energy?

YHfVS2



> Which of these has the lowest V?

HfVS3



> uncorrected formation energy of number 12 (HfWS2)?

-0.35 eV per atom